Material: HfInPd3
Method: DFT, SCAN
State: single point on PBEsol structure

abc: 4.8277 4.8277 4.8277
angles: 90.00 90.00 90.00
Sites, in units of the cell vectors:
Hf (0.0000, 0.0000, 0.0000)
In (0.5000, 0.5000, 0.5000)
Pd (0.0000, 0.0000, 0.5000)
Pd (0.0000, 0.5000, 0.0000)
Pd (0.5000, 0.0000, 0.0000)

SG: Pm-3m
total magnetization: 0.0 μB/f.u.
formation energy: 449 meV/atom